Record 1
Entry from the Alexandria database: an optimized crystal structure of Be2TlAu (GGA-PBE).

Structure (CIF):
```
data_Be2TlAu
_space_group_name_H-M_alt 'F -4 3 m'
_space_group_IT_number 216
_space_group_name_Hall 'F -4 2 3'
_cell_length_a 6.415
_cell_length_b 6.415
_cell_length_c 6.415
_cell_angle_alpha 90.00
_cell_angle_beta 90.00
_cell_angle_gamma 90.00
loop_
_atom_site_label
_atom_site_type_symbol
_atom_site_fract_x
_atom_site_fract_y
_atom_site_fract_z
Be1 Be 0.000 0.000 0.000
Be2 Be 0.250 0.250 0.250
Tl1 Tl 0.250 0.250 0.750
Au1 Au 0.000 0.000 0.500
```

**Crystal system**: cubic
**Energy relative to the elements**: 727 meV per atom
**Relative energy among the computed polymorphs**: 620 meV/atom
**VASP energy**: -2.55 eV/atom

Record 2
Entry from the Alexandria database: an optimized crystal structure of BeTl2Au6 (GGA-PBE).

Structure (CIF):
```
data_BeTl2Au6
_space_group_name_H-M_alt 'R -3 m'
_space_group_IT_number 166
_space_group_name_Hall '-R 3 2"'
_cell_length_a 6.9218
_cell_length_b 6.9218
_cell_length_c 12.9037
_cell_angle_alpha 90.00
_cell_angle_beta 90.00
_cell_angle_gamma 120.00
loop_
_atom_site_label
_atom_site_type_symbol
_atom_site_fract_x
_atom_site_fract_y
_atom_site_fract_z
Be1 Be 0.0000 0.0000 0.0000
Tl1 Tl 0.0000 0.0000 0.2207
Au1 Au 0.0434 0.5217 0.2604
```

**Crystal system**: trigonal
**Energy relative to the elements**: -4 meV per atom
**VASP energy**: -3.13 eV/atom

Record 3
Entry from the Alexandria database: an optimized crystal structure of BeTl2Au2 (GGA-PBE).

Structure (CIF):
```
data_BeTl2Au2
_space_group_name_H-M_alt 'P 4/m b m'
_space_group_IT_number 127
_space_group_name_Hall '-P 4 2ab'
_cell_length_a 6.166
_cell_length_b 6.166
_cell_length_c 5.913
_cell_angle_alpha 90.00
_cell_angle_beta 90.00
_cell_angle_gamma 90.00
loop_
_atom_site_label
_atom_site_type_symbol
_atom_site_fract_x
_atom_site_fract_y
_atom_site_fract_z
Be1 Be 0.000 0.000 0.000
Tl1 Tl 0.188 0.312 0.500
Au1 Au 0.162 0.662 0.000
```

**Crystal system**: tetragonal
**Energy relative to the elements**: 101 meV per atom
**VASP energy**: -2.90 eV/atom

Record 4
Entry from the Alexandria database: an optimized crystal structure of Be2TlAu (GGA-PBE).

Structure (CIF):
```
data_Be2TlAu
_space_group_name_H-M_alt 'P 4 m m'
_space_group_IT_number 99
_cell_length_a 3.273
_cell_length_b 3.273
_cell_length_c 5.890
_cell_angle_alpha 90.00
_cell_angle_beta 90.00
_cell_angle_gamma 90.00
loop_
_space_group_symop_operation_xyz
'x,y,z'
'-y,x,z'
'-x,-y,z'
'y,-x,z'
'-x,y,z'
'y,x,z'
'x,-y,z'
'-y,-x,z'
loop_
_atom_site_label
_atom_site_type_symbol
_atom_site_fract_x
_atom_site_fract_y
_atom_site_fract_z
Be1 Be 0.000 0.000 0.000
Be2 Be 0.500 0.500 0.222
Tl1 Tl 0.000 0.000 0.472
Au1 Au 0.500 0.500 0.842
```

**Crystal system**: tetragonal
**Energy relative to the elements**: 362 meV per atom
**Relative energy among the computed polymorphs**: 256 meV/atom
**VASP energy**: -2.91 eV/atom